# GGA-PBE SrGa2NiPd, relaxed
# - Energy relative to the elements: -0.529 eV per atom
# - Space group: I-4m2
# - Uncorrected energy: -21.4 eV/cell
data_SrGa2NiPd
_chemical_formula_sum 'Sr1 Ga2 Ni1 Pd1'
_cell_length_a 4.402
_cell_length_b 4.402
_cell_length_c 5.982
_cell_angle_alpha 111.59
_cell_angle_beta 111.59
_cell_angle_gamma 90.00
_space_group_name_H-M_alt 'P 1'
_space_group_IT_number 1
loop_
_space_group_symop_operation_xyz
'x,y,z'
loop_
_atom_site_label
_atom_site_type_symbol
_atom_site_fract_x
_atom_site_fract_y
_atom_site_fract_z
Sr1 Sr 0.000 0.000 0.000
Ga1 Ga 0.637 0.637 0.274
Ga2 Ga 0.363 0.363 0.726
Ni1 Ni 0.250 0.750 0.500
Pd1 Pd 0.750 0.250 0.500